Record 1
A plane-wave DFT calculation with PBE-GGA was carried out for a relaxed TaSi3Pt crystal.

Geometry as CIF:
```
data_TaSi3Pt
_cell_length_a 4.6338
_cell_length_b 4.6338
_cell_length_c 4.6338
_cell_angle_alpha 90.00
_cell_angle_beta 90.00
_cell_angle_gamma 90.00
_symmetry_space_group_name_H-M 'P 1'
_symmetry_Int_Tables_number 1
loop_
_symmetry_equiv_pos_as_xyz
'x,y,z'
loop_
_atom_site_label
_atom_site_type_symbol
_atom_site_fract_x
_atom_site_fract_y
_atom_site_fract_z
Si1 Si 0.0000 0.5000 0.0000
Si2 Si 0.0000 0.0000 0.5000
Si3 Si 0.5000 0.0000 0.0000
Pt1 Pt 0.0000 0.0000 0.0000
Ta1 Ta 0.5000 0.5000 0.5000
```

Summary:
Total moment = 0.00 μB per cell
Formation energy without anion corrections = 1.031 eV per atom

=====

Record 2
A plane-wave DFT calculation with PBE-GGA was carried out for a relaxed Y3Sb crystal.

Geometry as CIF:
```
data_Y3Sb
_cell_length_a 6.8239
_cell_length_b 6.8239
_cell_length_c 5.5612
_cell_angle_alpha 90.00
_cell_angle_beta 90.00
_cell_angle_gamma 120.00
_symmetry_space_group_name_H-M 'P 1'
_symmetry_Int_Tables_number 1
loop_
_symmetry_equiv_pos_as_xyz
'x,y,z'
loop_
_atom_site_label
_atom_site_type_symbol
_atom_site_fract_x
_atom_site_fract_y
_atom_site_fract_z
Y1 Y 0.3405 0.1703 0.7500
Y2 Y 0.8297 0.1703 0.7500
Y3 Y 0.8297 0.6595 0.7500
Y4 Y 0.1703 0.8297 0.2500
Y5 Y 0.6595 0.8297 0.2500
Y6 Y 0.1703 0.3405 0.2500
Sb1 Sb 0.6667 0.3333 0.2500
Sb2 Sb 0.3333 0.6667 0.7500
```

Summary:
Total moment = 2.22 μB per cell
Formation energy without anion corrections = -0.461 eV per atom
Offset from the most stable computed form = 0.1620 eV/atom

=====

Record 3
A plane-wave DFT calculation with PBE-GGA was carried out for a relaxed Ir2Os6Ru crystal.

Geometry as CIF:
```
data_Ir2Os6Ru
_cell_length_a 2.7392
_cell_length_b 8.7244
_cell_length_c 6.7817
_cell_angle_alpha 125.88
_cell_angle_beta 90.00
_cell_angle_gamma 80.98
_symmetry_space_group_name_H-M 'P 1'
_symmetry_Int_Tables_number 1
loop_
_symmetry_equiv_pos_as_xyz
'x,y,z'
loop_
_atom_site_label
_atom_site_type_symbol
_atom_site_fract_x
_atom_site_fract_y
_atom_site_fract_z
Ir1 Ir 0.5920 0.8157 0.1502
Ir2 Ir 0.4080 0.1843 0.8498
Os1 Os 0.7390 0.5222 0.1859
Os2 Os 0.2610 0.4778 0.8141
Os3 Os 0.6684 0.6633 0.6626
Os4 Os 0.9249 0.1502 0.4838
Os5 Os 0.0751 0.8498 0.5162
Os6 Os 0.3316 0.3367 0.3374
Ru1 Ru 0.0000 0.0000 0.0000
```

Summary:
Total moment = 0.00 μB per cell
Energy of formation = 36 meV/atom

=====

Record 4
A plane-wave DFT calculation with PBE-GGA was carried out for a relaxed Pr2EuGa crystal.

Geometry as CIF:
```
data_Pr2EuGa
_cell_length_a 5.5321
_cell_length_b 5.5321
_cell_length_c 5.5321
_cell_angle_alpha 60.00
_cell_angle_beta 60.00
_cell_angle_gamma 60.00
_symmetry_space_group_name_H-M 'P 1'
_symmetry_Int_Tables_number 1
loop_
_symmetry_equiv_pos_as_xyz
'x,y,z'
loop_
_atom_site_label
_atom_site_type_symbol
_atom_site_fract_x
_atom_site_fract_y
_atom_site_fract_z
Eu1 Eu 0.0000 0.0000 0.0000
Pr1 Pr 0.2500 0.2500 0.2500
Pr2 Pr 0.7500 0.7500 0.7500
Ga1 Ga 0.5000 0.5000 0.5000
```

Summary:
Total moment = 7.41 μB per cell
Offset from the most stable computed form = 0.1152 eV/atom
Energy of formation = -112 meV/atom

=====

Record 5
A plane-wave DFT calculation with PBE-GGA was carried out for a relaxed CdRe2Au crystal.

Geometry as CIF:
```
data_CdRe2Au
_cell_length_a 4.5703
_cell_length_b 3.8330
_cell_length_c 3.8330
_cell_angle_alpha 90.00
_cell_angle_beta 90.00
_cell_angle_gamma 90.00
_symmetry_space_group_name_H-M 'P 1'
_symmetry_Int_Tables_number 1
loop_
_symmetry_equiv_pos_as_xyz
'x,y,z'
loop_
_atom_site_label
_atom_site_type_symbol
_atom_site_fract_x
_atom_site_fract_y
_atom_site_fract_z
Re1 Re 0.0000 0.0000 0.0000
Re2 Re 0.0000 0.5000 0.5000
Au1 Au 0.5000 0.5000 0.0000
Cd1 Cd 0.5000 0.0000 0.5000
```

Summary:
Total moment = 0.00 μB per cell
Energy of formation = 702 meV/atom

=====

Record 6
A plane-wave DFT calculation with PBE-GGA was carried out for a relaxed TmV2C crystal.

Geometry as CIF:
```
data_TmV2C
_cell_length_a 4.7405
_cell_length_b 4.7405
_cell_length_c 4.2464
_cell_angle_alpha 56.07
_cell_angle_beta 56.07
_cell_angle_gamma 60.00
_symmetry_space_group_name_H-M 'P 1'
_symmetry_Int_Tables_number 1
loop_
_symmetry_equiv_pos_as_xyz
'x,y,z'
loop_
_atom_site_label
_atom_site_type_symbol
_atom_site_fract_x
_atom_site_fract_y
_atom_site_fract_z
C1 C 0.0000 0.0000 0.0000
Tm1 Tm 0.5000 0.5000 0.5000
V1 V 0.1984 0.1984 0.4047
V2 V 0.8016 0.8016 0.5953
```

Summary:
Total moment = 1.68 μB per cell
Offset from the most stable computed form = 0.7284 eV/atom
Energy of formation = 1068 meV/atom

=====

Record 7
A plane-wave DFT calculation with PBE-GGA was carried out for a relaxed SrHo2AlAu4 crystal.

Geometry as CIF:
```
data_SrHo2AlAu4
_cell_length_a 4.9580
_cell_length_b 4.9580
_cell_length_c 9.3862
_cell_angle_alpha 74.69
_cell_angle_beta 74.69
_cell_angle_gamma 60.00
_symmetry_space_group_name_H-M 'P 1'
_symmetry_Int_Tables_number 1
loop_
_symmetry_equiv_pos_as_xyz
'x,y,z'
loop_
_atom_site_label
_atom_site_type_symbol
_atom_site_fract_x
_atom_site_fract_y
_atom_site_fract_z
Sr1 Sr 0.0000 0.0000 0.0000
Ho1 Ho 0.7673 0.7673 0.6982
Ho2 Ho 0.2327 0.2327 0.3018
Al1 Al 0.5000 0.5000 0.5000
Au1 Au 0.4015 0.4015 0.7956
Au2 Au 0.8771 0.8771 0.3688
Au3 Au 0.1229 0.1229 0.6312
Au4 Au 0.5985 0.5985 0.2044
```

Summary:
Total moment = 0.00 μB per cell
Energy of formation = -722 meV/atom

=====

Record 8
A plane-wave DFT calculation with PBE-GGA was carried out for a relaxed Na2AcTbF8 crystal.

Geometry as CIF:
```
data_Na2AcTbF8
_cell_length_a 5.6735
_cell_length_b 5.6735
_cell_length_c 6.9475
_cell_angle_alpha 114.10
_cell_angle_beta 114.10
_cell_angle_gamma 90.00
_symmetry_space_group_name_H-M 'P 1'
_symmetry_Int_Tables_number 1
loop_
_symmetry_equiv_pos_as_xyz
'x,y,z'
loop_
_atom_site_label
_atom_site_type_symbol
_atom_site_fract_x
_atom_site_fract_y
_atom_site_fract_z
Na1 Na 0.7500 0.2500 0.5000
Na2 Na 0.0000 0.0000 0.0000
Ac1 Ac 0.5000 0.5000 0.0000
Tb1 Tb 0.2500 0.7500 0.5000
F1 F 0.1333 0.6329 0.7381
F2 F 0.6048 0.6329 0.7381
F3 F 0.3671 0.3952 0.2619
F4 F 0.8949 0.8667 0.2619
F5 F 0.6048 0.1051 0.7381
F6 F 0.3671 0.8667 0.2619
F7 F 0.1333 0.1051 0.7381
F8 F 0.8949 0.3952 0.2619
```

Summary:
Total moment = 0.00 μB per cell
Formation energy without anion corrections = -3.705 eV per atom

=====

Record 9
A plane-wave DFT calculation with PBE-GGA was carried out for a relaxed MgCu2Pd3 crystal.

Geometry as CIF:
```
data_MgCu2Pd3
_cell_length_a 4.3628
_cell_length_b 6.8938
_cell_length_c 6.0591
_cell_angle_alpha 90.00
_cell_angle_beta 90.00
_cell_angle_gamma 71.55
_symmetry_space_group_name_H-M 'P 1'
_symmetry_Int_Tables_number 1
loop_
_symmetry_equiv_pos_as_xyz
'x,y,z'
loop_
_atom_site_label
_atom_site_type_symbol
_atom_site_fract_x
_atom_site_fract_y
_atom_site_fract_z
Mg1 Mg 0.3364 0.3273 0.0000
Mg2 Mg 0.6636 0.6727 0.0000
Cu1 Cu 0.0000 0.0000 0.0000
Cu2 Cu 0.0000 0.0000 0.5000
Cu3 Cu 0.3309 0.3381 0.5000
Cu4 Cu 0.6691 0.6619 0.5000
Pd1 Pd 0.8351 0.3298 0.7437
Pd2 Pd 0.5000 0.0000 0.2586
Pd3 Pd 0.1649 0.6702 0.2563
Pd4 Pd 0.8351 0.3298 0.2563
Pd5 Pd 0.1649 0.6702 0.7437
Pd6 Pd 0.5000 0.0000 0.7414
```

Summary:
Total moment = 0.00 μB per cell
Offset from the most stable computed form = 0.0152 eV/atom
Energy of formation = -369 meV/atom

=====

So what do the calculations give for volume? Going down the list: 19.9; 28.0; 14.3; 29.9; 16.8; 15.8; 23.8; 15.2; 14.4 Å³/atom.
So what do the calculations give for final energy? Going down the list: -5.802; -6.339; -10.450; -5.827; -6.570; -6.915; -4.183; -5.901; -4.596 eV per atom.
So what do the calculations give for calculated density? Going down the list: 7.7; 5.8; 21.0; 7.0; 16.9; 7.4; 10.8; 5.3; 9.0 g cm⁻³.